(1)
Computed, not measured: a geometry-optimized Fe3PbF structure at the PBE+U level of DFT.

Unit cell a=4.3497 b=4.3497 c=4.3497 alpha=90.00 beta=90.00 gamma=90.00
Atoms (fractional coordinates):
Fe (0.0000, 0.0000, 0.5000)
Fe (0.0000, 0.5000, 0.0000)
Fe (0.5000, 0.0000, 0.0000)
Pb (0.5000, 0.5000, 0.5000)
F (0.0000, 0.0000, 0.0000)

E above lowest polymorph, kJ/mol of atoms: 0.0
VASP energy, eV/cell: -19.8

(2)
Computed, not measured: a geometry-optimized Fe2Pb3F12 structure at the PBE+U level of DFT.

Unit cell a=7.5323 b=7.7961 c=10.0400 alpha=109.84 beta=108.01 gamma=96.45
Atoms (fractional coordinates):
Fe (0.0151, 0.2043, 0.2910)
Fe (0.3237, 0.2623, 0.0623)
Fe (0.6763, 0.7377, 0.9377)
Fe (0.9849, 0.7957, 0.7090)
Pb (0.1936, 0.3357, 0.7029)
Pb (0.2379, 0.7799, 0.1213)
Pb (0.4007, 0.7710, 0.5341)
Pb (0.5993, 0.2290, 0.4659)
Pb (0.7621, 0.2201, 0.8787)
Pb (0.8064, 0.6643, 0.2971)
F (0.1011, 0.8508, 0.5739)
F (0.1053, 0.2406, 0.1345)
F (0.1406, 0.6818, 0.2982)
F (0.1519, 0.0403, 0.8723)
F (0.1698, 0.6532, 0.7656)
F (0.1791, 0.4186, 0.9691)
F (0.1950, 0.4193, 0.4683)
F (0.2101, 0.0674, 0.3338)
F (0.4287, 0.0964, 0.1521)
F (0.4749, 0.4795, 0.2456)
F (0.4821, 0.1155, 0.6401)
F (0.4851, 0.2883, 0.9516)
F (0.5149, 0.7117, 0.0484)
F (0.5179, 0.8845, 0.3599)
F (0.5251, 0.5205, 0.7544)
F (0.5713, 0.9036, 0.8479)
F (0.7899, 0.9326, 0.6662)
F (0.8050, 0.5807, 0.5317)
F (0.8209, 0.5814, 0.0309)
F (0.8302, 0.3468, 0.2344)
F (0.8481, 0.9597, 0.1277)
F (0.8594, 0.3182, 0.7018)
F (0.8947, 0.7594, 0.8655)
F (0.8989, 0.1492, 0.4261)

VASP energy, eV/cell: -172.6

(3)
Computed, not measured: a geometry-optimized FePbF3 structure at the PBE+U level of DFT.

Unit cell a=4.7631 b=4.7631 c=4.7631 alpha=90.00 beta=90.00 gamma=90.00
Atoms (fractional coordinates):
Fe (0.0000, 0.0000, 0.0000)
Pb (0.5000, 0.5000, 0.5000)
F (0.0000, 0.5000, 0.5000)
F (0.5000, 0.0000, 0.5000)
F (0.5000, 0.5000, 0.0000)

E above lowest polymorph, kJ/mol of atoms: 55.7
VASP energy, eV/cell: -21.5

(4)
Computed, not measured: a geometry-optimized FePbF3 structure at the PBE+U level of DFT.

Unit cell a=4.2337 b=4.2337 c=4.2337 alpha=90.00 beta=90.00 gamma=90.00
Atoms (fractional coordinates):
Fe (0.0000, 0.0000, 0.0000)
Pb (0.5000, 0.5000, 0.5000)
F (0.0000, 0.0000, 0.5000)
F (0.0000, 0.5000, 0.0000)
F (0.5000, 0.0000, 0.0000)

E above lowest polymorph, kJ/mol of atoms: 25.7
VASP energy, eV/cell: -23.1

(5)
Computed, not measured: a geometry-optimized FePbF3 structure at the PBE+U level of DFT.

Unit cell a=5.9304 b=5.9304 c=9.6325 alpha=98.92 beta=98.92 gamma=32.38
Atoms (fractional coordinates):
Fe (0.1212, 0.1212, 0.4541)
Fe (0.8788, 0.8788, 0.5459)
Pb (0.3643, 0.3643, 0.1532)
Pb (0.6357, 0.6357, 0.8468)
F (0.1629, 0.1629, 0.0693)
F (0.3068, 0.3068, 0.4099)
F (0.4246, 0.4246, 0.6620)
F (0.5754, 0.5754, 0.3380)
F (0.6932, 0.6932, 0.5901)
F (0.8371, 0.8371, 0.9307)

E above lowest polymorph, kJ/mol of atoms: 0.0
VASP energy, eV/cell: -48.8

(6)
Computed, not measured: a geometry-optimized FePbF4 structure at the PBE+U level of DFT.

Unit cell a=6.6130 b=6.6130 c=6.6130 alpha=107.35 beta=107.35 gamma=113.80
Atoms (fractional coordinates):
Fe (0.3750, 0.6250, 0.7500)
Fe (0.6250, 0.3750, 0.2500)
Pb (0.1250, 0.8750, 0.2500)
Pb (0.8750, 0.1250, 0.7500)
F (0.1887, 0.2539, 0.5652)
F (0.1887, 0.6236, 0.9348)
F (0.2539, 0.1887, 0.0652)
F (0.3764, 0.8113, 0.5652)
F (0.6236, 0.1887, 0.4348)
F (0.7461, 0.8113, 0.9348)
F (0.8113, 0.3764, 0.0652)
F (0.8113, 0.7461, 0.4348)

VASP energy, eV/cell: -61.6

(7)
Computed, not measured: a geometry-optimized FePb2F structure at the PBE+U level of DFT.

Unit cell a=8.4967 b=8.4967 c=8.4967 alpha=143.87 beta=143.87 gamma=52.02
Atoms (fractional coordinates):
Fe (0.0000, 0.0000, 0.0000)
Fe (0.7500, 0.2500, 0.5000)
Pb (0.1829, 0.6250, 0.0579)
Pb (0.3750, 0.4329, 0.5579)
Pb (0.5671, 0.1250, 0.9421)
Pb (0.8750, 0.8171, 0.4421)
F (0.2500, 0.7500, 0.5000)
F (0.5000, 0.5000, 0.0000)

E above lowest polymorph, kJ/mol of atoms: 0.0
VASP energy, eV/cell: -30.7

(8)
Computed, not measured: a geometry-optimized Fe2PbF structure at the PBE+U level of DFT.

Unit cell a=5.8365 b=5.8365 c=5.8365 alpha=109.44 beta=109.44 gamma=109.54
Atoms (fractional coordinates):
Fe (0.0414, 0.1250, 0.4164)
Fe (0.3750, 0.9586, 0.0836)
Fe (0.7086, 0.6250, 0.5836)
Fe (0.8750, 0.2914, 0.9164)
Pb (0.2500, 0.7500, 0.5000)
Pb (0.5000, 0.5000, 0.0000)
F (0.0000, 0.0000, 0.0000)
F (0.7500, 0.2500, 0.5000)

E above lowest polymorph, kJ/mol of atoms: 0.0
VASP energy, eV/cell: -35.0

(9)
Computed, not measured: a geometry-optimized FePbF5 structure at the PBE+U level of DFT.

Unit cell a=5.8923 b=5.8923 c=7.9647 alpha=109.92 beta=109.92 gamma=72.29
Atoms (fractional coordinates):
Fe (0.0000, 0.0000, 0.0000)
Fe (0.0000, 0.0000, 0.5000)
Pb (0.4609, 0.5391, 0.7500)
Pb (0.5391, 0.4609, 0.2500)
F (0.0599, 0.9401, 0.7500)
F (0.2150, 0.2266, 0.6122)
F (0.2266, 0.2150, 0.1122)
F (0.2775, 0.7151, 0.0338)
F (0.2849, 0.7225, 0.4662)
F (0.7151, 0.2775, 0.5338)
F (0.7225, 0.2849, 0.9662)
F (0.7734, 0.7850, 0.8878)
F (0.7850, 0.7734, 0.3878)
F (0.9401, 0.0599, 0.2500)

VASP energy, eV/cell: -71.7

(10)
Computed, not measured: a geometry-optimized FePb2F structure at the PBE+U level of DFT.

Unit cell a=4.8994 b=4.8994 c=4.8994 alpha=60.00 beta=60.00 gamma=60.00
Atoms (fractional coordinates):
Fe (0.0000, 0.0000, 0.0000)
Pb (0.2500, 0.2500, 0.2500)
Pb (0.7500, 0.7500, 0.7500)
F (0.5000, 0.5000, 0.5000)

E above lowest polymorph, kJ/mol of atoms: 0.4
VASP energy, eV/cell: -15.3

(11)
Computed, not measured: a geometry-optimized Fe2Pb5F12 structure at the PBE+U level of DFT.

Unit cell a=7.8342 b=7.8342 c=8.2525 alpha=111.52 beta=111.52 gamma=47.64
Atoms (fractional coordinates):
Fe (0.2406, 0.7594, 0.0000)
Fe (0.7594, 0.2406, 0.0000)
Pb (0.0000, 0.0000, 0.5000)
Pb (0.2973, 0.2973, 0.5821)
Pb (0.3108, 0.3108, 0.1342)
Pb (0.6892, 0.6892, 0.8658)
Pb (0.7027, 0.7027, 0.4179)
F (0.0073, 0.0073, 0.1859)
F (0.1009, 0.5893, 0.9189)
F (0.1355, 0.6002, 0.3815)
F (0.3998, 0.8645, 0.6185)
F (0.4107, 0.8991, 0.0811)
F (0.4959, 0.4959, 0.8215)
F (0.5041, 0.5041, 0.1785)
F (0.5893, 0.1009, 0.9189)
F (0.6002, 0.1355, 0.3815)
F (0.8645, 0.3998, 0.6185)
F (0.8991, 0.4107, 0.0811)
F (0.9927, 0.9927, 0.8141)

VASP energy, eV/cell: -93.1

(12)
Computed, not measured: a geometry-optimized Fe2PbF structure at the PBE+U level of DFT.

Unit cell a=4.6451 b=4.6451 c=4.6451 alpha=60.00 beta=60.00 gamma=60.00
Atoms (fractional coordinates):
Fe (0.2500, 0.2500, 0.2500)
Fe (0.7500, 0.7500, 0.7500)
Pb (0.0000, 0.0000, 0.0000)
F (0.5000, 0.5000, 0.5000)

E above lowest polymorph, kJ/mol of atoms: 40.2
VASP energy, eV/cell: -15.8